Compound: Pu2CrF8
Source: Alexandria
Functional: PBE with a Hubbard U
Structure: relaxed

Geometry as POSCAR:
```
Pu2CrF8
1.0
3.8382 0.0000 0.0000
0.7348 5.5016 0.0000
1.8854 0.9288 7.7722
Pu Cr F
2 1 8
Direct
0.1278 0.0790 0.2201
0.8722 0.9210 0.7799
0.5000 0.5000 0.5000
0.0634 0.7591 0.4948
0.2810 0.8281 0.0010
0.3517 0.1562 0.7250
0.4638 0.6485 0.7211
0.5362 0.3515 0.2789
0.6483 0.8438 0.2750
0.7190 0.1719 0.9990
0.9366 0.2409 0.5052
```

Values from the calculation:
calculated density	7.00	Mg/m³
final energy	-7.890	eV/atom
space-group type	P-1